[1]
PBE SrCaEu, optimized geometry; electronic total energy = -4.62 eV/atom; M_tot = 7.8 μB/f.u.
1.0
4.374 0.000 0.000
0.000 4.374 0.000
-2.187 -2.187 7.256
Eu Ca Sr
1 1 1
direct
0.326 0.326 0.652 Eu
0.672 0.672 0.344 Ca
0.002 0.002 0.004 Sr

***

[2]
PBE Sr4CaEu, optimized geometry; electronic total energy = -3.01 eV/atom; M_tot = 7.3 μB/f.u.
1.0
7.699 0.000 0.000
3.850 6.668 0.000
3.850 2.223 6.286
Sr Eu Ca
4 1 1
direct
0.625 0.125 0.625 Sr
0.125 0.625 0.625 Sr
0.625 0.625 0.125 Sr
0.625 0.625 0.625 Sr
0.000 0.000 0.000 Eu
0.250 0.250 0.250 Ca

***

[3]
PBE SrCaTbEu, optimized geometry; electronic total energy = -4.51 eV/atom; M_tot = 7.2 μB/f.u.
1.0
6.124 0.000 0.000
3.062 5.304 0.000
3.062 1.768 5.001
Sr Ca Tb Eu
1 1 1 1
direct
0.000 0.000 0.000 Sr
0.250 0.250 0.250 Ca
0.500 0.500 0.500 Tb
0.750 0.750 0.750 Eu

***

[4]
PBE SrCaEuTl, optimized geometry; electronic total energy = -4.23 eV/atom; M_tot = 7.4 μB/f.u.
1.0
-2.977 0.619 5.090
-5.834 -1.040 0.167
-2.079 -4.784 2.819
Ca Sr Tl Eu
1 1 1 1
direct
0.500 0.500 0.500 Ca
0.750 0.750 0.750 Sr
0.000 0.000 0.000 Tl
0.250 0.250 0.250 Eu

***

[5]
PBE SrCaEuTm, optimized geometry; electronic total energy = -4.45 eV/atom; M_tot = 7.2 μB/f.u.
1.0
6.083 0.000 0.000
3.042 5.268 0.000
3.042 1.756 4.967
Ca Sr Tm Eu
1 1 1 1
direct
0.000 0.000 0.000 Ca
0.250 0.250 0.250 Sr
0.750 0.750 0.750 Tm
0.500 0.500 0.500 Eu

***

[6]
PBE Ca2EuTa, optimized geometry; electronic total energy = -5.77 eV/atom; M_tot = 4.6 μB/f.u.
1.0
5.594 0.000 0.000
2.797 4.844 0.000
2.797 1.615 4.567
Ta Eu Ca
1 1 2
direct
0.000 0.000 0.000 Ta
0.500 0.500 0.500 Eu
0.250 0.250 0.250 Ca
0.750 0.750 0.750 Ca

***

What did the fourth record say?
PBE SrCaEuTl, optimized geometry; electronic total energy = -4.23 eV/atom; M_tot = 7.4 μB/f.u.
1.0
-2.977 0.619 5.090
-5.834 -1.040 0.167
-2.079 -4.784 2.819
Ca Sr Tl Eu
1 1 1 1
direct
0.500 0.500 0.500 Ca
0.750 0.750 0.750 Sr
0.000 0.000 0.000 Tl
0.250 0.250 0.250 Eu

***

Question: Among the records above, which one has the highest M_tot?
Answer: SrCaEu

***

What did the fifth record say?
PBE SrCaEuTm, optimized geometry; electronic total energy = -4.45 eV/atom; M_tot = 7.2 μB/f.u.
1.0
6.083 0.000 0.000
3.042 5.268 0.000
3.042 1.756 4.967
Ca Sr Tm Eu
1 1 1 1
direct
0.000 0.000 0.000 Ca
0.250 0.250 0.250 Sr
0.750 0.750 0.750 Tm
0.500 0.500 0.500 Eu